1.
# CeNdHg

Crystalline CeNdHg at its relaxed geometry (PBE, Alexandria).

Geometry as CIF:
```
data_CeNdHg
_chemical_formula_sum 'Ce4 Nd4 Hg4'
_cell_length_a 3.3559
_cell_length_b 5.9304
_cell_length_c 18.0438
_cell_angle_alpha 90.00
_cell_angle_beta 90.00
_cell_angle_gamma 90.00
_space_group_name_H-M_alt 'I m m m'
_space_group_IT_number 71
_space_group_name_Hall '-I 2 2'
loop_
_atom_site_label
_atom_site_type_symbol
_atom_site_fract_x
_atom_site_fract_y
_atom_site_fract_z
Ce1 Ce 0.0000 0.2197 0.0000
Nd1 Nd 0.0000 0.5000 0.3319
Hg1 Hg 0.0000 0.5000 0.1550
```

Calculated values
- E_form (eV per atom) = -0.06
- E above lowest polymorph (eV/atom) = 0.131
- DFT total energy (hartree per atom) = -0.1370
- size of the total moment (Bohr magnetons per cell) = 3.62

---

2.
# La5Pr12Cd2

Crystalline La5Pr12Cd2 at its relaxed geometry (PBE, Alexandria).

Geometry as CIF:
```
data_La5Pr12Cd2
_chemical_formula_sum 'La10 Pr24 Cd4'
_cell_length_a 15.9860
_cell_length_b 9.4463
_cell_length_c 8.8343
_cell_angle_alpha 90.00
_cell_angle_beta 93.70
_cell_angle_gamma 90.00
_space_group_name_H-M_alt 'C 1 2/m 1'
_space_group_IT_number 12
loop_
_space_group_symop_operation_xyz
'x,y,z'
'-x,-y,-z'
'-x,y,-z'
'x,-y,z'
'x+1/2,y+1/2,z'
'-x+1/2,-y+1/2,-z'
'-x+1/2,y+1/2,-z'
'x+1/2,-y+1/2,z'
loop_
_atom_site_label
_atom_site_type_symbol
_atom_site_fract_x
_atom_site_fract_y
_atom_site_fract_z
La1 La 0.0000 0.0000 0.0000
La2 La 0.1996 0.5000 0.5215
La3 La 0.2316 0.0000 0.0724
Pr1 Pr 0.0568 0.5000 0.8298
Pr2 Pr 0.0758 0.0000 0.3840
Pr3 Pr 0.1262 0.3064 0.1780
Pr4 Pr 0.1428 0.1842 0.7372
Cd1 Cd 0.0000 0.3319 0.5000
```

Calculated values
- E_form (eV per atom) = 0.02
- DFT total energy (hartree per atom) = -0.1615
- size of the total moment (Bohr magnetons per cell) = 0.00

---

3.
# CsNa9Ca2

Crystalline CsNa9Ca2 at its relaxed geometry (PBE, Alexandria).

Geometry as CIF:
```
data_CsNa9Ca2
_chemical_formula_sum 'Cs3 Na27 Ca6'
_cell_length_a 7.1297
_cell_length_b 7.1297
_cell_length_c 34.5137
_cell_angle_alpha 90.00
_cell_angle_beta 90.00
_cell_angle_gamma 120.00
_space_group_name_H-M_alt 'R -3 m'
_space_group_IT_number 166
_space_group_name_Hall '-R 3 2"'
loop_
_atom_site_label
_atom_site_type_symbol
_atom_site_fract_x
_atom_site_fract_y
_atom_site_fract_z
Cs1 Cs 0.0000 0.0000 0.0000
Na1 Na 0.0000 0.0000 0.3346
Na2 Na 0.0000 0.0000 0.5000
Na3 Na 0.0074 0.5037 0.9109
Ca1 Ca 0.0000 0.0000 0.1480
```

Calculated values
- E_form (eV per atom) = 0.05
- DFT total energy (hartree per atom) = -0.0494
- size of the total moment (Bohr magnetons per cell) = 0.00

---

4.
# NaHgI2N

Crystalline NaHgI2N at its relaxed geometry (PBE, Alexandria).

Geometry as CIF:
```
data_NaHgI2N
_chemical_formula_sum 'Na1 Hg1 I2 N1'
_cell_length_a 6.0433
_cell_length_b 6.0433
_cell_length_c 4.6645
_cell_angle_alpha 90.00
_cell_angle_beta 90.00
_cell_angle_gamma 90.00
_space_group_name_H-M_alt 'P 4/m m m'
_space_group_IT_number 123
_space_group_name_Hall '-P 4 2'
loop_
_atom_site_label
_atom_site_type_symbol
_atom_site_fract_x
_atom_site_fract_y
_atom_site_fract_z
Na1 Na 0.0000 0.0000 0.0000
Hg1 Hg 0.5000 0.5000 0.5000
I1 I 0.0000 0.5000 0.0000
N1 N 0.0000 0.0000 0.5000
```

Calculated values
- formation energy (no corrections) (meV/atom) = 679
- E above lowest polymorph (eV/atom) = 0.343
- DFT total energy (hartree per atom) = -0.0709
- size of the total moment (Bohr magnetons per cell) = 2.99